1.
## NaPu2Rh (GGA-PBE)

Data for a geometry-optimized NaPu2Rh structure.

a b c (Å): 3.3264 3.3264 9.5516
angles (deg): 90.00 90.00 90.00
Sites, in units of the cell vectors:
Na 0.0000 0.0000 0.0000
Pu 0.5000 0.5000 0.3167
Pu 0.5000 0.5000 0.6833
Rh 0.0000 0.0000 0.5000

Output
* energy of formation: -0.053 eV/atom
* volume: 105.7 Å³/f.u.
* crystal system: tetragonal
* excess energy over the best structure of this formula in the dataset: 0.0 meV/atom

***

2.
## Na3PuRh3S8 (GGA-PBE)

Data for a geometry-optimized Na3PuRh3S8 structure.

a b c (Å): 7.8095 7.8095 7.8095
angles (deg): 54.78 54.78 54.78
Sites, in units of the cell vectors:
Na 0.0000 0.5000 0.5000
Na 0.5000 0.0000 0.5000
Na 0.5000 0.5000 0.0000
Pu 0.5000 0.5000 0.5000
Rh 0.0000 0.0000 0.5000
Rh 0.0000 0.5000 0.0000
Rh 0.5000 0.0000 0.0000
S 0.2071 0.7518 0.7518
S 0.2278 0.2278 0.2278
S 0.2482 0.2482 0.7929
S 0.2482 0.7929 0.2482
S 0.7518 0.2071 0.7518
S 0.7518 0.7518 0.2071
S 0.7722 0.7722 0.7722
S 0.7929 0.2482 0.2482

Output
* volume: 295.9 Å³/f.u.
* crystal system: trigonal
* formation energy from raw total energies: -0.87 eV/atom